A relaxed Mg2InCl crystal. Source: Alexandria, functional PBE.

extended XYZ file:
```
4
Lattice="5.250 0.000 0.000 0.000 5.250 0.000 0.000 0.000 3.339" Properties=species:S:1:pos:R:3 pbc="T T T"
Mg 0.000 2.625 0.000
Mg 2.625 0.000 0.000
In 0.000 0.000 1.670
Cl 2.625 2.625 0.000
```

Values from the calculation:
ρ = 3589 kg/m3
Raw total energy = -9.9 eV/cell
Energy above the lowest structure with this stoichiometry = 23 meV per atom
Uncorrected formation energy = -535.4 meV per atom

A relaxed Cu3ICl crystal. Source: Alexandria, functional PBE.

extended XYZ file:
```
5
Lattice="4.689 0.000 0.000 0.000 4.689 0.000 0.000 0.000 4.689" Properties=species:S:1:pos:R:3 pbc="T T T"
Cu 0.000 0.000 2.344
Cu 0.000 2.344 0.000
Cu 2.344 0.000 0.000
I 2.344 2.344 2.344
Cl 0.000 0.000 0.000
```

Values from the calculation:
ρ = 5687 kg/m3
Raw total energy = -13.1 eV/cell
Energy above the lowest structure with this stoichiometry = 0 meV per atom
Uncorrected formation energy = 520.3 meV per atom

A relaxed BaMgRe2Pb crystal. Source: Alexandria, functional PBE.

extended XYZ file:
```
5
Lattice="5.206 0.000 0.000 0.000 5.206 0.000 0.000 0.000 5.573" Properties=species:S:1:pos:R:3 pbc="T T T"
Ba 0.000 0.000 0.000
Mg 0.000 0.000 2.787
Re 0.000 2.603 0.000
Re 2.603 0.000 0.000
Pb 2.603 2.603 2.787
```

Values from the calculation:
ρ = 8149 kg/m3
Energy of formation = 2.743 eV per atom
Raw total energy = -18.4 eV/cell

A relaxed FeNi6Sb crystal. Source: Alexandria, functional PBE.

extended XYZ file:
```
8
Lattice="5.170 0.000 0.000 -2.585 4.477 0.000 0.000 0.000 4.171" Properties=species:S:1:pos:R:3 pbc="T T T"
Fe 0.000 0.000 0.000
Ni 1.292 0.746 2.086
Ni 2.585 0.065 0.000
Ni 1.349 2.206 0.000
Ni 3.878 0.746 2.086
Ni 2.585 2.985 2.086
Ni 3.821 2.206 0.000
Sb 0.000 2.985 2.086
```

Values from the calculation:
ρ = 9112 kg/m3
Raw total energy = -47.8 eV/cell
Energy above the lowest structure with this stoichiometry = 28 meV per atom
Uncorrected formation energy = -70.8 meV per atom